A | DFT (PBE) results for a geometry-optimized Ti2GeF structure.

Properties
* SG: No. 225

```
data_Ti2GeF
_chemical_formula_sum 'Ti2 Ge1 F1'
_cell_length_a 4.362
_cell_length_b 4.362
_cell_length_c 4.362
_cell_angle_alpha 60.00
_cell_angle_beta 60.00
_cell_angle_gamma 60.00
_symmetry_space_group_name_H-M 'P 1'
_symmetry_Int_Tables_number 1
loop_
_symmetry_equiv_pos_as_xyz
'x,y,z'
loop_
_atom_site_label
_atom_site_type_symbol
_atom_site_fract_x
_atom_site_fract_y
_atom_site_fract_z
_atom_site_occupancy
F1 F 0.000 0.000 0.000 1
Ge1 Ge 0.500 0.500 0.500 1
Ti1 Ti 0.750 0.750 0.750 1
Ti2 Ti 0.250 0.250 0.250 1
```

---

B | DFT (PBE) results for a geometry-optimized Ti2GeF structure.

Properties
* SG: No. 122

```
data_Ti2GeF
_chemical_formula_sum 'Ti4 Ge2 F2'
_cell_length_a 4.788
_cell_length_b 4.788
_cell_length_c 7.050
_cell_angle_alpha 70.15
_cell_angle_beta 70.15
_cell_angle_gamma 90.00
_symmetry_space_group_name_H-M 'P 1'
_symmetry_Int_Tables_number 1
loop_
_symmetry_equiv_pos_as_xyz
'x,y,z'
loop_
_atom_site_label
_atom_site_type_symbol
_atom_site_fract_x
_atom_site_fract_y
_atom_site_fract_z
_atom_site_occupancy
Ti1 Ti 0.219 0.625 0.250 1
Ti2 Ti 0.875 0.781 0.750 1
Ti3 Ti 0.375 0.469 0.750 1
Ti4 Ti 0.531 0.125 0.250 1
Ge1 Ge 0.750 0.250 0.500 1
Ge2 Ge 0.000 0.000 0.000 1
F1 F 0.500 0.500 0.000 1
F2 F 0.250 0.750 0.500 1
```

---

Which structure wins on stability? A wins.